TaMoRu2 | GGA-PBE | relaxed

Cell: 4.6386 4.6386 2.9479 Å, 90.00 90.00 102.47°
Last column: nearest neighbours and their distance in Å.
Atoms (fractional coordinates):
Mo1 0.0000 0.5000 0.5000  8 Ru 2.75, 2 Ta 2.90, 2 Mo 2.95
Ru1 0.0000 0.0000 0.0000  4 Ta 2.75, 4 Mo 2.75, 4 Ru 2.90-2.95
Ru2 0.5000 0.5000 0.0000  4 Mo 2.75, 4 Ta 2.75, 4 Ru 2.90-2.95
Ta1 0.5000 0.0000 0.5000  8 Ru 2.75, 2 Mo 2.90, 2 Ta 2.95

The value obtained for the density of states at the Fermi level is 4.78 states/eV/f.u. For the calculated total energy, the calculation gives -10.3853 eV/atom. The formation energy is -76 meV/atom.



Ce5Ho3N8 | GGA-PBE | relaxed

Cell: 7.0442 7.0442 7.0523 Å, 60.04 60.04 60.00°
Last column: nearest neighbours and their distance in Å.
Atoms (fractional coordinates):
Ce1 0.5000 0.0000 0.0000  6 N 2.50-2.51
Ce2 0.5000 0.5000 0.0000  6 N 2.50-2.51
Ce3 0.0000 0.0000 0.0000  6 N 2.49
Ce4 0.0000 0.5000 0.0000  6 N 2.50-2.51
Ce5 0.5000 0.5000 0.5000  6 N 2.49
Ho1 0.5000 0.0000 0.5000  6 N 2.47-2.48
Ho2 0.0000 0.0000 0.5000  6 N 2.47-2.48
Ho3 0.0000 0.5000 0.5000  6 N 2.47-2.48
N1 0.2501 0.2501 0.7456  2 Ho 2.47, 4 Ce 2.49-2.51
N2 0.2501 0.7543 0.7456  2 Ho 2.47, 4 Ce 2.49-2.51
N3 0.7543 0.2501 0.7456  2 Ho 2.47, 4 Ce 2.49-2.51
N4 0.7509 0.7509 0.7474  3 Ho 2.48, 3 Ce 2.50
N5 0.7499 0.7499 0.2544  2 Ho 2.47, 4 Ce 2.49-2.51
N6 0.7499 0.2457 0.2544  2 Ho 2.47, 4 Ce 2.49-2.51
N7 0.2457 0.7499 0.2544  2 Ho 2.47, 4 Ce 2.49-2.51
N8 0.2491 0.2491 0.2526  3 Ho 2.48, 3 Ce 2.50

The value obtained for the density of states at the Fermi level is 10.87 states/eV/f.u. For the calculated total energy, the calculation gives -8.4522 eV/atom. For the raw formation energy, the calculation gives -1577 meV/atom.



Q: What is the formula in the first record?
A: TaMoRu2



Q: What is the density of states at the Fermi level in the second record?
A: 10.87 states/eV/f.u.



Q: The highest calculated total energy belongs to which entry?
A: Ce5Ho3N8